1.
# Pm4Tm

A geometry-optimized Pm4Tm structure (PBE, Alexandria via LeMat-Bulk).

Unit cell a=6.2678 b=3.6184 c=14.8639 alpha=90.00 beta=98.01 gamma=90.00
Space group C2/m (No. 12)
Inequivalent atoms, fractional coordinates:
Pm 0.1013 0.0000 0.3047 x4
Pm 0.2011 0.5000 0.1014 x4
Tm 0.0000 0.5000 0.5000 x2



2.
# Pm2Tm13

A geometry-optimized Pm2Tm13 structure (PBE, Alexandria via LeMat-Bulk).

Unit cell a=6.5133 b=8.6278 c=8.8928 alpha=69.12 beta=84.35 gamma=80.85
Space group P-1 (No. 2)
Inequivalent atoms, fractional coordinates:
Pm 0.1973 0.3064 0.3954 x2
Tm 0.0000 0.5000 0.0000 x1
Tm 0.0953 0.9270 0.6929 x2
Tm 0.1367 0.6976 0.2641 x2
Tm 0.2380 0.0758 0.9759 x2
Tm 0.3351 0.4973 0.6690 x2
Tm 0.4299 0.9228 0.3591 x2
Tm 0.4641 0.6971 0.9343 x2



3.
# PmTm5

A geometry-optimized PmTm5 structure (PBE, Alexandria via LeMat-Bulk).

Unit cell a=9.4922 b=3.4504 c=11.5763 alpha=90.00 beta=90.00 gamma=90.00
Space group Amm2 (No. 38)
Inequivalent atoms, fractional coordinates:
Pm 0.0000 0.0000 0.0000 x2
Tm 0.1817 0.0000 0.2753 x4
Tm 0.3252 0.0000 0.5417 x4
Tm 0.5000 0.0000 0.8196 x2



4.
# Pm4Tm3

A geometry-optimized Pm4Tm3 structure (PBE, Alexandria via LeMat-Bulk).

Unit cell a=16.8624 b=3.4996 c=8.7514 alpha=90.00 beta=116.62 gamma=90.00
Space group C2/m (No. 12)
Inequivalent atoms, fractional coordinates:
Pm 0.0800 0.0000 0.2048 x4
Pm 0.1384 0.5000 0.9073 x4
Tm 0.0000 0.0000 0.5000 x2
Tm 0.2207 0.0000 0.6438 x4



In order of appearance, final energy = -4.681 -4.458 -4.391 -4.497 eV/atom.
In order of appearance, ΔH_f (0 K) = 0.0142 0.0503 0.1273 0.1343 eV per atom.
In order of appearance, V = 334 460 379 462 Å³ per cell.